# 1
## Zr2ReSi2 (PBE)

Data for a relaxed structure of Zr2ReSi2.

abc: 6.5628 6.5628 3.9205
angles: 90.00 90.00 90.00
Closest atoms and distances in Å follow each position.
Positions (direct):
Zr1 0.1728 0.3272 0.0000  6 Si 2.67-2.81
Zr2 0.3272 0.8272 0.0000  6 Si 2.67-2.81
Zr3 0.6728 0.1728 0.0000  6 Si 2.67-2.81
Zr4 0.8272 0.6728 0.0000  6 Si 2.67-2.81
Re1 0.0000 0.0000 0.5000  4 Si 2.57
Re2 0.5000 0.5000 0.5000  4 Si 2.57
Si1 0.1314 0.6314 0.5000  1 Si 2.44, 2 Re 2.57, 2 Zr 2.67
Si2 0.3686 0.1314 0.5000  1 Si 2.44, 2 Re 2.57, 2 Zr 2.67
Si3 0.6314 0.8686 0.5000  1 Si 2.44, 2 Re 2.57, 2 Zr 2.67
Si4 0.8686 0.3686 0.5000  1 Si 2.44, 2 Re 2.57, 2 Zr 2.67

density	8.355	Mg/m³
total DFT energy (no corrections)	-8.841	eV/atom

***

# 2
## Sm2Re (PBE)

Data for a relaxed structure of Sm2Re.

abc: 8.4386 8.4386 8.4386
angles: 60.00 60.00 60.00
Closest atoms and distances in Å follow each position.
Positions (direct):
Sm1 0.0000 0.0000 0.0000  2 Re 2.58
Sm2 0.0000 0.0000 0.5000  2 Re 2.58
Sm3 0.0000 0.5000 0.0000  2 Re 2.58
Sm4 0.5000 0.0000 0.0000  2 Re 2.58
Re1 0.1250 0.1250 0.1250  4 Sm 2.58
Re2 0.8750 0.8750 0.8750  4 Sm 2.58

density	3.806	Mg/m³
formation enthalpy at 0 K	1.607	eV/atom

***

# 3
## SmRe3 (PBE)

Data for a relaxed structure of SmRe3.

abc: 4.7946 4.7946 7.9109
angles: 90.00 90.00 120.00
Closest atoms and distances in Å follow each position.
Positions (direct):
Sm1 0.3333 0.6667 0.2500  11 Re 2.77-2.99
Sm2 0.6667 0.3333 0.7500  11 Re 2.77-2.99
Re1 0.0000 0.0000 0.2500  3 Sm 2.77, 6 Re 2.99
Re2 0.0000 0.0000 0.7500  3 Sm 2.77, 6 Re 2.99
Re3 0.3333 0.6667 0.6058  1 Re 2.28
Re4 0.3333 0.6667 0.8942  1 Re 2.28
Re5 0.6667 0.3333 0.1058  1 Re 2.28
Re6 0.6667 0.3333 0.3942  1 Re 2.28

density	14.952	Mg/m³
formation enthalpy at 0 K	1.570	eV/atom

***

# 4
## Sm2Re (PBE)

Data for a relaxed structure of Sm2Re.

abc: 5.8978 5.8978 5.8978
angles: 60.00 60.00 60.00
Closest atoms and distances in Å follow each position.
Positions (direct):
Sm1 0.0000 0.0000 0.0000  6 Sm 2.95
Sm2 0.0000 0.0000 0.5000  6 Sm 2.95
Sm3 0.0000 0.5000 0.0000  6 Sm 2.95
Sm4 0.5000 0.0000 0.0000  6 Sm 2.95
Re1 0.3750 0.3750 0.3750  12 Sm 3.46, 4 Re 3.61
Re2 0.6250 0.6250 0.6250  12 Sm 3.46, 4 Re 3.61

density	11.148	Mg/m³
formation enthalpy at 0 K	1.411	eV/atom

***

# 5
## SmTaRe (PBE)

Data for a relaxed structure of SmTaRe.

abc: 4.5850 4.5850 4.5850
angles: 60.00 60.00 60.00
Closest atoms and distances in Å follow each position.
Positions (direct):
Sm1 0.0000 0.0000 0.0000  4 Ta 2.81, 4 Re 2.81
Ta1 0.2500 0.2500 0.2500  4 Sm 2.81
Re1 0.7500 0.7500 0.7500  4 Sm 2.81

density	12.608	Mg/m³
formation enthalpy at 0 K	1.827	eV/atom

***

# 6
## TbSmRe (PBE)

Data for a relaxed structure of TbSmRe.

abc: 4.8050 4.8050 4.8050
angles: 60.00 60.00 60.00
Closest atoms and distances in Å follow each position.
Positions (direct):
Tb1 0.0000 0.0000 0.0000  4 Sm 2.94
Sm1 0.7500 0.7500 0.7500  4 Tb 2.94, 4 Re 2.94
Re1 0.5000 0.5000 0.5000  4 Sm 2.94

density	10.489	Mg/m³
formation enthalpy at 0 K	1.180	eV/atom

***

# 7
## SmThRe (PBE)

Data for a relaxed structure of SmThRe.

abc: 4.9251 4.9251 4.9251
angles: 60.00 60.00 60.00
Closest atoms and distances in Å follow each position.
Positions (direct):
Sm1 0.0000 0.0000 0.0000  4 Re 3.02
Th1 0.5000 0.5000 0.5000  4 Re 3.02
Re1 0.7500 0.7500 0.7500  4 Th 3.02, 4 Sm 3.02

density	11.177	Mg/m³
formation enthalpy at 0 K	0.170	eV/atom

***

# 8
## SmURe (PBE)

Data for a relaxed structure of SmURe.

abc: 4.7785 4.7785 4.7785
angles: 60.00 60.00 60.00
Closest atoms and distances in Å follow each position.
Positions (direct):
Sm1 0.0000 0.0000 0.0000  4 Re 2.93
U1 0.5000 0.5000 0.5000  4 Re 2.93
Re1 0.7500 0.7500 0.7500  4 U 2.93, 4 Sm 2.93

density	12.367	Mg/m³
formation enthalpy at 0 K	0.582	eV/atom

***

# 9
## SmReW (PBE)

Data for a relaxed structure of SmReW.

abc: 4.5265 4.5265 4.5265
angles: 60.00 60.00 60.00
Closest atoms and distances in Å follow each position.
Positions (direct):
Sm1 0.0000 0.0000 0.0000  4 W 2.77
Re1 0.5000 0.5000 0.5000  4 W 2.77
W1 0.7500 0.7500 0.7500  4 Sm 2.77, 4 Re 2.77

density	13.177	Mg/m³
formation enthalpy at 0 K	0.900	eV/atom

***

# 10
## SmReW (PBE)

Data for a relaxed structure of SmReW.

abc: 4.5342 4.5342 4.5342
angles: 60.00 60.00 60.00
Closest atoms and distances in Å follow each position.
Positions (direct):
Sm1 0.0000 0.0000 0.0000  4 Re 2.78, 4 W 2.78
Re1 0.7500 0.7500 0.7500  4 Sm 2.78
W1 0.2500 0.2500 0.2500  4 Sm 2.78

density	13.110	Mg/m³
formation enthalpy at 0 K	2.187	eV/atom

***

# 11
## SmZrRe (PBE)

Data for a relaxed structure of SmZrRe.

abc: 4.6691 4.6691 4.6691
angles: 60.00 60.00 60.00
Closest atoms and distances in Å follow each position.
Positions (direct):
Sm1 0.0000 0.0000 0.0000  4 Zr 2.86, 4 Re 2.86
Zr1 0.2500 0.2500 0.2500  4 Sm 2.86
Re1 0.7500 0.7500 0.7500  4 Sm 2.86

density	9.869	Mg/m³
formation enthalpy at 0 K	1.350	eV/atom

***

# 12
## SmZrRe (PBE)

Data for a relaxed structure of SmZrRe.

abc: 4.6712 4.6712 4.6712
angles: 60.00 60.00 60.00
Closest atoms and distances in Å follow each position.
Positions (direct):
Sm1 0.0000 0.0000 0.0000  4 Zr 2.86
Zr1 0.7500 0.7500 0.7500  4 Re 2.86, 4 Sm 2.86
Re1 0.5000 0.5000 0.5000  4 Zr 2.86

density	9.856	Mg/m³
formation enthalpy at 0 K	0.837	eV/atom

***

- Which value of density does entry 9 give?
  13.177 Mg/m³